Material: Mn5Si3
Method: DFT, PBE
State: relaxed

Values from the calculation:
The calculation puts the total magnetic moment at 0.188 μB per atom. The calculation puts the formation energy (no corrections) at -2.7 eV/f.u.

abc: 6.810 6.810 4.646
angles: 90.00 90.00 120.91
Last column: magnetic moment on the atom in μB.
Sites, in units of the cell vectors:
Mn1 0.222 0.222 0.750  2.72
Mn2 0.337 0.663 0.500  0.36
Mn3 0.004 0.762 0.750  -0.97
Mn4 0.663 0.337 0.000  0.36
Mn5 0.762 0.004 0.750  -0.97
Mn6 0.663 0.337 0.500  0.36
Mn7 0.337 0.663 0.000  0.36
Mn8 0.778 0.778 0.250  2.72
Mn9 0.996 0.238 0.250  -0.97
Mn10 0.238 0.996 0.250  -0.97
Si1 0.004 0.601 0.250  -0.01
Si2 0.391 0.391 0.250  -0.01
Si3 0.601 0.004 0.250  -0.01
Si4 0.399 0.996 0.750  -0.01
Si5 0.996 0.399 0.750  -0.01
Si6 0.609 0.609 0.750  -0.01


Material: MnSi3
Method: DFT, PBE
State: relaxed

Values from the calculation:
The calculation puts the total magnetic moment at 0.572 μB per atom. The calculation puts the formation energy (no corrections) at 1.1 eV/f.u.

abc: 3.994 3.994 3.313
angles: 90.00 90.00 90.00
Last column: magnetic moment on the atom in μB.
Sites, in units of the cell vectors:
Si1 0.000 0.500 0.500  -0.02
Si2 0.500 0.000 0.500  -0.02
Si3 0.500 0.500 0.000  -0.01
Mn1 0.000 0.000 0.000  2.33


Material: Mn13Si2
Method: DFT, PBE
State: relaxed

Values from the calculation:
The calculation puts the total magnetic moment at 0.140 μB per atom. The calculation puts the formation energy (no corrections) at -1.2 eV/f.u.

abc: 7.201 6.095 6.798
angles: 69.04 38.51 61.88
Last column: magnetic moment on the atom in μB.
Sites, in units of the cell vectors:
Mn1 0.500 0.500 0.500  0.52
Mn2 0.717 0.094 0.288  1.59
Mn3 0.238 0.367 0.423  -0.28
Mn4 0.089 0.314 0.893  0.67
Mn5 0.829 0.179 0.828  0.05
Mn6 0.171 0.821 0.172  0.05
Mn7 0.283 0.906 0.712  1.59
Mn8 0.553 0.045 0.768  -0.94
Mn9 0.982 0.228 0.352  -0.32
Mn10 0.911 0.686 0.107  0.67
Mn11 0.018 0.772 0.648  -0.32
Mn12 0.447 0.955 0.232  -0.94
Mn13 0.762 0.633 0.577  -0.28
Si1 0.628 0.570 0.041  0.00
Si2 0.372 0.430 0.959  0.00


Material: MnSi3
Method: DFT, PBE
State: relaxed

Values from the calculation:
The calculation puts the total magnetic moment at 0.000 μB per atom. The calculation puts the formation energy (no corrections) at 1.1 eV/f.u.

abc: 4.990 4.990 4.557
angles: 90.00 90.00 120.00
Sites, in units of the cell vectors:
Si1 0.660 0.830 0.750
Si2 0.830 0.170 0.250
Si3 0.340 0.170 0.250
Si4 0.830 0.660 0.250
Si5 0.170 0.830 0.750
Si6 0.170 0.340 0.750
Mn1 0.333 0.667 0.250
Mn2 0.667 0.333 0.750


Material: Mn7Si6
Method: DFT, PBE
State: relaxed

Values from the calculation:
The calculation puts the total magnetic moment at 0.734 μB per atom. The calculation puts the formation energy (no corrections) at -1.0 eV/f.u.

abc: 8.290 8.290 8.290
angles: 34.03 34.03 34.03
Last column: magnetic moment on the atom in μB.
Sites, in units of the cell vectors:
Si1 0.948 0.948 0.948  -0.07
Si2 0.052 0.052 0.052  -0.07
Si3 0.157 0.157 0.157  -0.01
Si4 0.666 0.666 0.666  -0.05
Si5 0.843 0.843 0.843  -0.01
Si6 0.334 0.334 0.334  -0.05
Mn1 0.080 0.587 0.587  1.45
Mn2 0.587 0.080 0.587  1.45
Mn3 0.413 0.920 0.413  1.45
Mn4 0.587 0.587 0.080  1.45
Mn5 0.413 0.413 0.920  1.45
Mn6 0.500 0.500 0.500  1.09
Mn7 0.920 0.413 0.413  1.45


Material: MnSi3
Method: DFT, PBE
State: relaxed

Values from the calculation:
The calculation puts the total magnetic moment at 0.001 μB per atom. The calculation puts the formation energy (no corrections) at 1.2 eV/f.u.

abc: 4.109 4.109 4.109
angles: 60.00 60.00 60.00
Sites, in units of the cell vectors:
Si1 0.500 0.500 0.500
Si2 0.750 0.750 0.750
Si3 0.250 0.250 0.250
Mn1 0.000 0.000 0.000


Question: Which of these has the lowest formation energy (no corrections)?
Answer: Mn5Si3


Question: Which value of formation energy (no corrections) does entry 2 give?
Answer: 1.1 eV/f.u.


Question: Which of these has the highest total magnetic moment?
Answer: Mn7Si6


Question: Which of these has the highest total magnetic moment?
Answer: Mn7Si6